A.
A geometry-optimized AlBi3Ru structure, computed with PBE.

```
AlBi3Ru
1.0
-2.947 -0.729 -4.386
4.425 0.033 -2.979
0.434 -5.284 0.586
Bi Al Ru
3 1 1
direct
0.500 0.000 0.000
0.000 0.000 0.500
0.000 0.500 0.000
0.000 0.000 0.000
0.500 0.500 0.500
```

---

B.
A geometry-optimized AlBi3Ru structure, computed with PBE.

```
AlBi3Ru
1.0
-1.130 4.438 -2.682
-5.124 -0.535 1.275
0.796 2.861 4.399
Bi Ru Al
3 1 1
direct
0.000 0.500 0.000
0.500 0.000 0.000
0.000 0.000 0.500
0.000 0.000 0.000
0.500 0.500 0.500
```

---

Relative energies, kJ/mol of atoms: A 61.6; B 0.0.

---

A.
A geometry-optimized Al2BiS structure, computed with PBE.

```
Al2BiS
1.0
2.192 -3.205 -3.040
-0.682 -4.844 0.616
-2.690 -2.545 -3.256
Al Bi S
2 1 1
direct
0.750 0.750 0.750
0.250 0.250 0.250
0.500 0.500 0.500
0.000 0.000 0.000
```

---

B.
A geometry-optimized Al2BiS structure, computed with PBE.

```
Al2BiS
1.0
-1.965 2.331 4.906
-5.300 0.320 -2.275
-4.970 -4.604 3.597
Al S Bi
4 2 2
direct
0.375 0.429 0.750
0.571 0.125 0.250
0.179 0.625 0.250
0.875 0.821 0.750
0.500 0.500 0.000
0.250 0.750 0.500
0.000 0.000 0.000
0.750 0.250 0.500
```

---

Relative energies, kJ/mol of atoms: A 32.1; B 0.0.

---

A.
A geometry-optimized AlBiS2 structure, computed with PBE.

```
AlBiS2
1.0
-2.737 -4.399 -2.356
1.630 -5.269 7.947
-6.121 2.315 2.790
Bi Al S
4 4 8
direct
0.453 0.328 0.436
0.547 0.672 0.936
0.047 0.828 0.936
0.953 0.172 0.436
0.931 0.613 0.531
0.069 0.387 0.031
0.569 0.113 0.031
0.431 0.887 0.531
0.496 0.074 0.721
0.469 0.344 0.062
0.996 0.426 0.721
0.969 0.156 0.062
0.531 0.656 0.562
0.504 0.926 0.221
0.004 0.574 0.221
0.031 0.844 0.562
```

---

B.
A geometry-optimized AlBiS2 structure, computed with PBE.

```
AlBiS2
1.0
-2.369 15.150 -0.750
-2.786 0.098 -6.932
-6.966 -1.869 1.952
S Bi Al
16 8 8
direct
0.250 0.375 0.875
0.913 0.905 0.389
0.412 0.585 0.615
0.912 0.885 0.915
0.219 0.405 0.366
0.088 0.115 0.085
0.281 0.866 0.905
0.750 0.625 0.125
0.719 0.134 0.095
0.781 0.595 0.634
0.087 0.095 0.611
0.413 0.111 0.595
0.250 0.874 0.374
0.588 0.415 0.385
0.587 0.889 0.405
0.750 0.126 0.626
0.438 0.943 0.146
0.562 0.057 0.854
0.938 0.354 0.557
0.062 0.646 0.443
0.557 0.474 0.850
0.943 0.350 0.974
0.443 0.526 0.150
0.057 0.650 0.026
0.665 0.131 0.364
0.317 0.364 0.626
0.817 0.874 0.136
0.835 0.864 0.631
0.165 0.136 0.369
0.335 0.869 0.636
0.183 0.126 0.864
0.683 0.636 0.374
```

---

Relative energies, kJ/mol of atoms: A 14.5; B 0.0.

---

A.
A geometry-optimized AlBi2S structure, computed with PBE.

```
AlBi2S
1.0
0.000 3.646 3.646
3.646 0.000 3.646
3.646 3.646 0.000
S Bi Al
1 2 1
direct
0.500 0.500 0.500
0.750 0.750 0.750
0.250 0.250 0.250
0.000 0.000 0.000
```

---

B.
A geometry-optimized AlBi2S structure, computed with PBE.

```
AlBi2S
1.0
6.033 0.000 0.000
0.000 6.033 0.000
3.017 3.017 7.482
Al Bi S
2 4 2
direct
0.250 0.750 0.500
0.500 0.500 0.000
0.375 0.362 0.750
0.875 0.888 0.750
0.112 0.625 0.250
0.638 0.125 0.250
0.750 0.250 0.500
0.000 0.000 0.000
```

---

Relative energies, kJ/mol of atoms: A 0.0; B 0.5.

---

A.
A geometry-optimized Al2BiS2 structure, computed with PBE.

```
Al2BiS2
1.0
4.381 0.000 0.000
0.000 4.381 0.000
2.191 2.191 5.751
S Al Bi
2 2 1
direct
0.661 0.661 0.679
0.339 0.339 0.321
0.750 0.250 0.500
0.250 0.750 0.500
0.000 0.000 0.000
```

---

B.
A geometry-optimized Al2BiS2 structure, computed with PBE.

```
Al2BiS2
1.0
7.828 0.000 0.000
0.000 7.828 0.000
0.000 0.000 3.336
Al S Bi
4 4 2
direct
0.867 0.367 0.500
0.133 0.633 0.500
0.367 0.133 0.500
0.633 0.867 0.500
0.138 0.362 0.000
0.862 0.638 0.000
0.362 0.862 0.000
0.638 0.138 0.000
0.000 0.000 0.000
0.500 0.500 0.000
```

---

Relative energies, kJ/mol of atoms: A 0.0; B 14.3.

---

A.
A geometry-optimized Al2BiSb structure, computed with PBE.

```
Al2BiSb
1.0
-3.768 2.501 2.433
-3.415 2.738 -2.685
-4.850 -1.636 -0.410
Al Bi Sb
2 1 1
direct
0.250 0.250 0.250
0.750 0.750 0.750
0.500 0.500 0.500
0.000 0.000 0.000
```

---

B.
A geometry-optimized Al2BiSb structure, computed with PBE.

```
Al2BiSb
1.0
-4.204 -4.592 -1.196
4.734 -4.170 -0.628
-0.067 -5.689 5.276
Sb Al Bi
2 4 2
direct
0.250 0.750 0.500
0.500 0.500 0.000
0.375 0.385 0.750
0.875 0.865 0.750
0.615 0.125 0.250
0.135 0.625 0.250
0.000 0.000 0.000
0.750 0.250 0.500
```

---

Relative energies, kJ/mol of atoms: A 29.0; B 0.0.